The following is a PBE-GGA calculation of crystalline La2MgZnNi at its relaxed geometry, from Alexandria.

Summary:
Final energy in eV/atom: -3.51
E above lowest polymorph in meV/atom: 341
Symmetry: P4/mmm (123)
Total magnetization in μB per formula unit: 0.000

```
La2MgZnNi
1.0
-2.068 -3.295 -4.240
-0.743 -3.264 2.898
-5.282 2.065 0.971
Mg Ni Zn La
1 1 1 2
direct
0.500 0.500 0.500 Mg
0.000 0.500 0.000 Ni
0.000 0.000 0.000 Zn
0.000 0.000 0.500 La
0.500 0.000 0.000 La
```

The following is a PBE-GGA calculation of crystalline La2MgZn2Ni5 at its relaxed geometry, from Alexandria.

Summary:
Final energy in eV/atom: -4.46
Symmetry: P4/mbm (127)
Total magnetization in μB per formula unit: 0.000

```
La2MgZn2Ni5
1.0
-1.114 1.554 -3.118
-8.535 2.087 4.090
3.517 8.521 2.990
Zn Ni Mg La
4 10 2 4
direct
0.000 0.612 0.888 Zn
0.000 0.388 0.112 Zn
0.000 0.112 0.612 Zn
0.000 0.888 0.388 Zn
0.500 0.062 0.780 Ni
0.500 0.220 0.062 Ni
0.500 0.780 0.938 Ni
0.500 0.500 0.000 Ni
0.500 0.720 0.438 Ni
0.500 0.562 0.720 Ni
0.500 0.438 0.280 Ni
0.500 0.000 0.500 Ni
0.500 0.938 0.220 Ni
0.500 0.280 0.562 Ni
0.000 0.000 0.000 Mg
0.000 0.500 0.500 Mg
0.000 0.817 0.683 La
0.000 0.683 0.183 La
0.000 0.317 0.817 La
0.000 0.183 0.317 La
```

The following is a PBE-GGA calculation of crystalline LaMg2ZnNi at its relaxed geometry, from Alexandria.

Summary:
Final energy in eV/atom: -3.18
Symmetry: P4/mmm (123)
Total magnetization in μB per formula unit: 0.000

```
LaMg2ZnNi
1.0
4.813 0.000 0.000
0.000 4.813 0.000
0.000 0.000 4.751
Zn Mg Ni La
1 2 1 1
direct
0.000 0.000 0.500 Zn
0.000 0.500 0.000 Mg
0.500 0.000 0.000 Mg
0.000 0.000 0.000 Ni
0.500 0.500 0.500 La
```

The following is a PBE-GGA calculation of crystalline La2MgZnNi at its relaxed geometry, from Alexandria.

Summary:
Final energy in eV/atom: -3.82
E above lowest polymorph in meV/atom: 26
Symmetry: P4/mmm (123)
Total magnetization in μB per formula unit: 0.000

```
La2MgZnNi
1.0
5.341 0.000 0.000
0.000 5.341 0.000
0.000 0.000 4.897
Zn La Ni Mg
1 2 1 1
direct
0.500 0.500 0.500 Zn
0.000 0.500 0.000 La
0.500 0.000 0.000 La
0.000 0.000 0.000 Ni
0.000 0.000 0.500 Mg
```

Energy relative to the elements / kJ/mol of formula units: 94 -161 -69 -57